A relaxed AcLaH8Rh2 crystal. Source: Alexandria, functional GGA-PBE.

Cell lengths 5.0032, 5.0032, 7.0238 Å; angles 69.14, 69.14, 60.00 degrees
Fractional positions:
H 0.5280 0.1061 0.8384
H 0.4725 0.4720 0.1616
H 0.8182 0.8182 0.5455
H 0.4720 0.8939 0.1616
H 0.8939 0.4725 0.1616
H 0.5275 0.5280 0.8384
H 0.1818 0.1818 0.4545
H 0.1061 0.5275 0.8384
Rh 0.7336 0.7336 0.7993
Rh 0.2664 0.2664 0.2007
La 0.0000 0.0000 0.0000
Ac 0.5000 0.5000 0.5000

## Properties
SG ... R-3m (166)

***

A relaxed AcLaSiH crystal. Source: Alexandria, functional GGA-PBE.

Cell lengths 5.1528, 5.1528, 5.1528 Å; angles 60.00, 60.00, 60.00 degrees
Fractional positions:
La 0.5000 0.5000 0.5000
Si 0.7500 0.7500 0.7500
H 0.2500 0.2500 0.2500
Ac 0.0000 0.0000 0.0000

## Properties
SG ... F-43m (216)

***

A relaxed Ac2La4Sn3H2 crystal. Source: Alexandria, functional GGA-PBE.

Cell lengths 4.9858, 4.9858, 13.8149 Å; angles 100.40, 100.40, 90.00 degrees
Last column: magnetic moment on the atom in μB.
Fractional positions:
Ac 0.7007 0.7007 0.4013  0.06
Ac 0.2993 0.2993 0.5987  0.06
Sn 0.1697 0.1697 0.3394  -0.01
Sn 0.8303 0.8303 0.6606  -0.01
Sn 0.0000 0.0000 0.0000  0.01
H 0.4007 0.4007 0.8014  0.00
H 0.5993 0.5993 0.1986  0.00
La 0.0804 0.5804 0.1607  0.02
La 0.9196 0.4196 0.8393  0.02
La 0.5804 0.0804 0.1607  0.02
La 0.4196 0.9196 0.8393  0.02

## Properties
SG ... I4/mmm (139)

***

A relaxed Ac2La2Sn2H crystal. Source: Alexandria, functional GGA-PBE.

Cell lengths 4.8963, 4.8963, 9.7654 Å; angles 104.52, 104.52, 90.00 degrees
Last column: magnetic moment on the atom in μB.
Fractional positions:
Ac 0.8201 0.8201 0.6402  0.09
Ac 0.1799 0.1799 0.3598  0.09
La 0.5000 0.0000 0.0000  0.04
La 0.0000 0.5000 0.0000  0.04
Sn 0.3688 0.3688 0.7377  -0.01
Sn 0.6312 0.6312 0.2623  -0.01
H 0.0000 0.0000 0.0000  0.00

## Properties
SG ... I4/mmm (139)

***

Number 1: density of states at the Fermi level 0.27 states/eV per atom, energy -54.39 eV for the cell shown. Number 2: density of states at the Fermi level 0.40 states/eV per atom, energy -19.28 eV for the cell shown. Number 3: density of states at the Fermi level 1.07 states/eV per atom, energy -53.16 eV for the cell shown. Number 4: density of states at the Fermi level 1.03 states/eV per atom, energy -33.85 eV for the cell shown.